Record 1
Density functional theory data (PBE) for an optimized crystal structure of AcNi2Ge5.

It has space group Immm (No. 71), with a = 4.0679 Å, b = 6.6727 Å, c = 11.2112 Å, α = 90.00°, β = 90.00° and γ = 90.00°. The asymmetric unit holds Ac at (0.0000, 0.0000, 0.0000), Ni at (0.0000, 0.5000, 0.2075), Ge at (0.0000, 0.2080, 0.3393) and Ge at (0.0000, 0.5000, 0.0000).

The raw total energy comes out at -5.15 eV per atom. The calculated volume comes out at 19.02 Å³/atom. The value obtained for the formation energy is -0.31 eV per atom.


Record 2
Density functional theory data (PBE) for an optimized crystal structure of InSn2O.

It has space group I-42d (No. 122), with a = 5.5229 Å, b = 5.5229 Å, c = 13.6389 Å, α = 90.00°, β = 90.00° and γ = 90.00°. The asymmetric unit holds In at (0.0000, 0.0000, 0.0000), Sn at (0.1324, 0.2500, 0.6250) and O at (0.0000, 0.0000, 0.5000).

Its uncorrected formation energy is -302.9 meV per atom. The raw total energy comes out at -4.23 eV per atom. The calculated volume comes out at 26.00 Å³/atom. The value obtained for the energy above the lowest structure with this stoichiometry is 0.00 eV per formula unit.


Record 3
Density functional theory data (PBE) for an optimized crystal structure of ZnTc.

It has space group P6_3/mmc (No. 194), with a = 7.9087 Å, b = 7.9087 Å, c = 3.9920 Å, α = 90.00°, β = 90.00° and γ = 120.00°. The asymmetric unit holds Zn at (0.1860, 0.3720, 0.2500) and Tc at (0.1158, 0.5579, 0.7500).

The raw total energy comes out at -5.59 eV per atom. The calculated volume comes out at 18.02 Å³/atom. The value obtained for the formation energy is 0.23 eV per atom. The value obtained for the energy above the lowest structure with this stoichiometry is 0.54 eV per formula unit.


Record 4
Density functional theory data (PBE) for an optimized crystal structure of Ti2Fe2Se.

It has space group P4/mbm (No. 127), with a = 6.7378 Å, b = 6.7378 Å, c = 3.5402 Å, α = 90.00°, β = 90.00° and γ = 90.00°. The asymmetric unit holds Ti at (0.1618, 0.3382, 0.0000), Fe at (0.1169, 0.6169, 0.5000) and Se at (0.0000, 0.0000, 0.0000).

Its uncorrected formation energy is -26.9 meV per atom. The raw total energy comes out at -7.27 eV per atom. The calculated volume comes out at 16.07 Å³/atom. The value obtained for the energy above the lowest structure with this stoichiometry is 0.83 eV per formula unit.